Entry 1:
! Mn2GaSi (PBE, relaxed); values from VASP
! Magnetization ... 5.12 μB/f.u.
! Energy relative to the elements, uncorrected ... 0.1914 eV/atom
! Theoretical density ... 5.58 g/cm³
&SYSTEM
  ibrav = 0, nat = 8, ntyp = 3
/
ATOMIC_SPECIES
Si 28.09 Si.upf
Mn 54.94 Mn.upf
Ga 69.72 Ga.upf
ATOMIC_POSITIONS crystal
Si 0.500 0.500 0.000
Si 0.250 0.750 0.500
Mn 0.604 0.125 0.250
Mn 0.146 0.625 0.250
Mn 0.375 0.396 0.750
Mn 0.875 0.854 0.750
Ga 0.000 0.000 0.000
Ga 0.750 0.250 0.500
CELL_PARAMETERS angstrom
6.765 0.000 0.000
0.000 6.765 0.000
3.383 3.383 2.702

=====

Entry 2:
! KScNi2Ag (PBE, relaxed); values from VASP
! Magnetization ... 0.00 μB/f.u.
! Theoretical density ... 4.65 g/cm³
! Raw total energy ... -2.889 eV/atom
&SYSTEM
  ibrav = 0, nat = 5, ntyp = 4
/
ATOMIC_SPECIES
Sc 44.96 Sc.upf
Ni 58.69 Ni.upf
K 39.10 K.upf
Ag 107.87 Ag.upf
ATOMIC_POSITIONS crystal
Sc 0.500 0.500 0.500
Ni 0.000 0.000 0.500
Ni 0.500 0.000 0.000
K 0.000 0.000 0.000
Ag 0.000 0.500 0.000
CELL_PARAMETERS angstrom
4.622 0.000 0.000
0.000 5.175 0.000
0.000 0.000 4.622

=====

Entry 3:
! CePmBi (PBE, relaxed); values from VASP
! Magnetization ... 1.81 μB/f.u.
! Theoretical density ... 8.53 g/cm³
! Energy above the most stable polymorph in this dataset ... 0.437 eV/atom
&SYSTEM
  ibrav = 0, nat = 3, ntyp = 3
/
ATOMIC_SPECIES
Bi 208.98 Bi.upf
Ce 140.12 Ce.upf
Pm 145.00 Pm.upf
ATOMIC_POSITIONS crystal
Bi 0.644 0.667 0.333
Ce 0.954 0.000 0.000
Pm 0.402 0.333 0.667
CELL_PARAMETERS angstrom
3.773 0.000 0.000
0.000 5.426 0.000
0.000 -2.713 4.699

=====

Entry 4:
! SmDyAgHg (PBE, relaxed); values from VASP
! Magnetization ... 0.00 μB/f.u.
! Theoretical density ... 10.06 g/cm³
! Raw total energy ... -3.507 eV/atom
&SYSTEM
  ibrav = 0, nat = 4, ntyp = 4
/
ATOMIC_SPECIES
Ag 107.87 Ag.upf
Hg 200.59 Hg.upf
Sm 150.36 Sm.upf
Dy 162.50 Dy.upf
ATOMIC_POSITIONS crystal
Ag 0.250 0.250 0.250
Hg 0.750 0.750 0.750
Sm 0.500 0.500 0.500
Dy 0.000 0.000 0.000
CELL_PARAMETERS angstrom
-1.802 -4.814 1.091
2.396 -2.941 3.636
-2.367 -0.940 4.596